DFT (GGA-PBE) results for crystalline PrSnRh at its relaxed geometry.

## Properties
- mass density (g cm⁻³) = 8.86
- crystal system = tetragonal
- V (Å³/atom) = 22.65
- energy of formation from the pure elements (meV/atom) = -567
- VASP energy (eV/f.u.) = -17.8

Lattice parameters (Å, degrees): 6.308 6.308 6.308 148.60 148.60 45.01
Atoms (fractional coordinates):
Pr 0.000 0.000 0.000
Sn 0.708 0.708 0.000
Rh 0.328 0.328 0.000